<one>
# Ag2Ir

Crystalline Ag2Ir at its relaxed geometry (PBE, the Alexandria database).

Results
space group = Cmcm
magnetic moment = 0.00 μB per formula unit
crystal system = orthorhombic

Cell: 7.864 7.864 4.852 Å, 90.00 90.00 160.49°
Positions (direct):
Ag (0.052, 0.948, 0.750)
Ag (0.280, 0.720, 0.250)
Ag (0.720, 0.280, 0.750)
Ag (0.948, 0.052, 0.250)
Ir (0.384, 0.616, 0.750)
Ir (0.616, 0.384, 0.250)

<two>
# Ag2Ir

Crystalline Ag2Ir at its relaxed geometry (PBE, the Alexandria database).

Results
space group = C2/m
magnetic moment = 0.00 μB per formula unit
crystal system = monoclinic

Cell: 5.609 5.609 6.836 Å, 103.99 103.99 28.86°
Positions (direct):
Ag (0.017, 0.017, 0.307)
Ag (0.358, 0.358, 0.970)
Ag (0.642, 0.642, 0.030)
Ag (0.983, 0.983, 0.693)
Ir (0.292, 0.292, 0.373)
Ir (0.708, 0.708, 0.627)

Stability verdict: <two>, ahead by 0.141 eV/atom

<one>
# Ag2Ir

Crystalline Ag2Ir at its relaxed geometry (PBE, the Alexandria database).

Results
space group = I4_1/amd
magnetic moment = 0.31 μB per formula unit
crystal system = tetragonal

Cell: 13.898 13.898 13.898 Å, 168.73 168.73 15.96°
Positions (direct):
Ag (0.296, 0.546, 0.750)
Ag (0.454, 0.704, 0.750)
Ag (0.546, 0.296, 0.250)
Ag (0.704, 0.454, 0.250)
Ir (0.125, 0.875, 0.250)
Ir (0.875, 0.125, 0.750)

<two>
# Ag2Ir

Crystalline Ag2Ir at its relaxed geometry (PBE, the Alexandria database).

Results
space group = Pnma
magnetic moment = 0.00 μB per formula unit
crystal system = orthorhombic

Cell: 5.638 4.521 8.159 Å, 90.00 90.00 90.00°
Positions (direct):
Ag (0.001, 0.250, 0.102)
Ag (0.250, 0.250, 0.750)
Ag (0.250, 0.750, 0.250)
Ag (0.499, 0.750, 0.602)
Ag (0.501, 0.250, 0.398)
Ag (0.750, 0.250, 0.750)
Ag (0.750, 0.750, 0.250)
Ag (0.999, 0.750, 0.898)
Ir (0.001, 0.250, 0.444)
Ir (0.499, 0.750, 0.944)
Ir (0.501, 0.250, 0.056)
Ir (0.999, 0.750, 0.556)

Stability verdict: <two>, ahead by 0.067 eV/atom

<one>
# Ag2Ir

Crystalline Ag2Ir at its relaxed geometry (PBE, the Alexandria database).

Results
space group = I4/mmm
magnetic moment = 0.39 μB per formula unit
crystal system = tetragonal

Cell: 6.844 6.844 6.844 Å, 156.80 156.80 33.04°
Positions (direct):
Ag (0.164, 0.164, 0.000)
Ag (0.836, 0.836, 0.000)
Ir (0.500, 0.500, 0.000)

<two>
# Ag2Ir

Crystalline Ag2Ir at its relaxed geometry (PBE, the Alexandria database).

Results
space group = Pa-3
magnetic moment = 0.00 μB per formula unit
crystal system = cubic

Cell: 6.308 6.308 6.308 Å, 90.00 90.00 90.00°
Positions (direct):
Ag (0.133, 0.133, 0.133)
Ag (0.133, 0.367, 0.633)
Ag (0.367, 0.633, 0.133)
Ag (0.367, 0.867, 0.633)
Ag (0.633, 0.133, 0.367)
Ag (0.633, 0.367, 0.867)
Ag (0.867, 0.633, 0.367)
Ag (0.867, 0.867, 0.867)
Ir (0.000, 0.000, 0.500)
Ir (0.000, 0.500, 0.000)
Ir (0.500, 0.000, 0.000)
Ir (0.500, 0.500, 0.500)

<three>
# Ag2Ir

Crystalline Ag2Ir at its relaxed geometry (PBE, the Alexandria database).

Results
space group = C2/m
magnetic moment = 0.00 μB per formula unit
crystal system = monoclinic

Cell: 4.861 4.861 8.309 Å, 112.95 112.95 33.70°
Positions (direct):
Ag (0.011, 0.011, 0.256)
Ag (0.331, 0.331, 0.403)
Ag (0.669, 0.669, 0.597)
Ag (0.989, 0.989, 0.744)
Ir (0.340, 0.340, 0.944)
Ir (0.660, 0.660, 0.056)

<four>
# Ag2Ir

Crystalline Ag2Ir at its relaxed geometry (PBE, the Alexandria database).

Results
space group = Cmcm
magnetic moment = 0.45 μB per formula unit
crystal system = orthorhombic

Cell: 6.347 6.347 3.950 Å, 90.00 90.00 140.50°
Positions (direct):
Ag (0.086, 0.914, 0.750)
Ag (0.252, 0.748, 0.250)
Ag (0.748, 0.252, 0.750)
Ag (0.914, 0.086, 0.250)
Ir (0.432, 0.568, 0.750)
Ir (0.568, 0.432, 0.250)

Stability verdict: <three>, ahead by 0.128 eV/atom

<one>
# Ag2Ir

Crystalline Ag2Ir at its relaxed geometry (PBE, the Alexandria database).

Results
space group = Cmcm
magnetic moment = 0.00 μB per formula unit
crystal system = orthorhombic

Cell: 7.858 7.858 4.576 Å, 90.00 90.00 159.47°
Positions (direct):
Ag (0.058, 0.942, 0.750)
Ag (0.388, 0.612, 0.750)
Ag (0.612, 0.388, 0.250)
Ag (0.942, 0.058, 0.250)
Ir (0.270, 0.730, 0.250)
Ir (0.730, 0.270, 0.750)

<two>
# Ag2Ir

Crystalline Ag2Ir at its relaxed geometry (PBE, the Alexandria database).

Results
space group = Immm
magnetic moment = 0.00 μB per formula unit
crystal system = orthorhombic

Cell: 5.023 5.023 5.023 Å, 149.00 129.47 60.47°
Positions (direct):
Ag (0.164, 0.164, 0.000)
Ag (0.836, 0.836, 0.000)
Ir (0.500, 0.500, 0.000)

<three>
# Ag2Ir

Crystalline Ag2Ir at its relaxed geometry (PBE, the Alexandria database).

Results
space group = Fd-3m
magnetic moment = 0.78 μB per formula unit
crystal system = cubic

Cell: 5.263 5.263 5.263 Å, 60.00 60.00 60.00°
Positions (direct):
Ag (0.000, 0.000, 0.000)
Ag (0.000, 0.000, 0.500)
Ag (0.000, 0.500, 0.000)
Ag (0.500, 0.000, 0.000)
Ir (0.375, 0.375, 0.375)
Ir (0.625, 0.625, 0.625)

<four>
# Ag2Ir

Crystalline Ag2Ir at its relaxed geometry (PBE, the Alexandria database).

Results
space group = P4/mmm
magnetic moment = 0.00 μB per formula unit
crystal system = tetragonal

Cell: 4.841 4.841 2.648 Å, 90.00 90.00 90.00°
Positions (direct):
Ag (0.000, 0.500, 0.000)
Ag (0.500, 0.000, 0.000)
Ir (0.000, 0.000, 0.500)

Stability verdict: <one>, ahead by 0.195 eV/atom